# 1
# PIrRh

A relaxed structure of PIrRh (PBE, Alexandria via LeMat-Bulk). Values from VASP.

formation enthalpy at 0 K: -580 meV/atom
crystal system: cubic
DOS at the Fermi energy: 0.83 states/eV/cell
raw total energy: -7.79 eV per atom

Quantum ESPRESSO input file:
```
&SYSTEM
  ibrav = 0, nat = 3, ntyp = 3
/
ATOMIC_SPECIES
P 30.97 P.upf
Ir 192.22 Ir.upf
Rh 102.91 Rh.upf
CELL_PARAMETERS angstrom
0.000 2.786 2.786
2.786 0.000 2.786
2.786 2.786 0.000
ATOMIC_POSITIONS crystal
P 0.000 0.000 0.000
Ir 0.750 0.750 0.750
Rh 0.250 0.250 0.250
```



# 2
# P2IrRh

A relaxed structure of P2IrRh (PBE, Alexandria via LeMat-Bulk). Values from VASP.

formation enthalpy at 0 K: -209 meV/atom
crystal system: trigonal
DOS at the Fermi energy: 1.94 states/eV/cell
raw total energy: -6.97 eV per atom

Quantum ESPRESSO input file:
```
&SYSTEM
  ibrav = 0, nat = 4, ntyp = 3
/
ATOMIC_SPECIES
P 30.97 P.upf
Ir 192.22 Ir.upf
Rh 102.91 Rh.upf
CELL_PARAMETERS angstrom
1.465 0.846 7.363
-1.465 0.846 7.363
0.000 -1.692 7.363
ATOMIC_POSITIONS crystal
P 0.250 0.250 0.250
P 0.750 0.750 0.750
Ir 0.500 0.500 0.500
Rh 0.000 0.000 0.000
```



# 3
# PIrRh2

A relaxed structure of PIrRh2 (PBE, Alexandria via LeMat-Bulk). Values from VASP.

formation enthalpy at 0 K: 84 meV/atom
crystal system: tetragonal
DOS at the Fermi energy: 5.85 states/eV/cell
raw total energy: -7.16 eV per atom

Quantum ESPRESSO input file:
```
&SYSTEM
  ibrav = 0, nat = 4, ntyp = 3
/
ATOMIC_SPECIES
P 30.97 P.upf
Ir 192.22 Ir.upf
Rh 102.91 Rh.upf
CELL_PARAMETERS angstrom
-1.921 1.921 3.772
1.921 -1.921 3.772
1.921 1.921 -3.772
ATOMIC_POSITIONS crystal
P 0.000 0.000 0.000
Ir 0.500 0.500 0.000
Rh 0.250 0.750 0.500
Rh 0.750 0.250 0.500
```



# 4
# PIrRh2

A relaxed structure of PIrRh2 (PBE, Alexandria via LeMat-Bulk). Values from VASP.

formation enthalpy at 0 K: 61 meV/atom
crystal system: tetragonal
DOS at the Fermi energy: 5.09 states/eV/cell
raw total energy: -7.18 eV per atom

Quantum ESPRESSO input file:
```
&SYSTEM
  ibrav = 0, nat = 4, ntyp = 3
/
ATOMIC_SPECIES
P 30.97 P.upf
Ir 192.22 Ir.upf
Rh 102.91 Rh.upf
CELL_PARAMETERS angstrom
-1.960 1.960 3.609
1.960 -1.960 3.609
1.960 1.960 -3.609
ATOMIC_POSITIONS crystal
P 0.000 0.000 0.000
Ir 0.750 0.250 0.500
Rh 0.250 0.750 0.500
Rh 0.500 0.500 0.000
```



# 5
# PIrRh2

A relaxed structure of PIrRh2 (PBE, Alexandria via LeMat-Bulk). Values from VASP.

formation enthalpy at 0 K: -234 meV/atom
crystal system: monoclinic
DOS at the Fermi energy: 4.11 states/eV/cell
raw total energy: -7.48 eV per atom

Quantum ESPRESSO input file:
```
&SYSTEM
  ibrav = 0, nat = 4, ntyp = 3
/
ATOMIC_SPECIES
P 30.97 P.upf
Ir 192.22 Ir.upf
Rh 102.91 Rh.upf
CELL_PARAMETERS angstrom
4.911 -1.430 0.000
4.911 1.430 0.000
-1.993 0.000 4.012
ATOMIC_POSITIONS crystal
P 0.000 0.000 0.000
Ir 0.298 0.298 0.692
Rh 0.503 0.503 0.415
Rh 0.702 0.702 0.098
```



# 6
# PIr2Rh

A relaxed structure of PIr2Rh (PBE, Alexandria via LeMat-Bulk). Values from VASP.

formation enthalpy at 0 K: 186 meV/atom
crystal system: orthorhombic
DOS at the Fermi energy: 4.44 states/eV/cell
raw total energy: -7.43 eV per atom

Quantum ESPRESSO input file:
```
&SYSTEM
  ibrav = 0, nat = 4, ntyp = 3
/
ATOMIC_SPECIES
P 30.97 P.upf
Ir 192.22 Ir.upf
Rh 102.91 Rh.upf
CELL_PARAMETERS angstrom
2.735 0.000 0.000
0.000 4.577 0.000
0.000 0.000 4.578
ATOMIC_POSITIONS crystal
P 0.000 0.000 0.000
Ir 0.000 0.500 0.500
Ir 0.500 0.500 0.000
Rh 0.500 0.000 0.500
```